1.
# TaBe4Re

TaBe4Re at its PBEsol-relaxed geometry (SCAN, the Alexandria database).

abc: 6.2961 6.2961 6.2961
angles: 90.00 90.00 90.00
Space group F-43m (No. 216)
Symmetry-distinct sites (fractional):
Ta 0.0000 0.0000 0.0000
Be 0.1240 0.1240 0.6240
Re 0.2500 0.2500 0.2500

Summary:
Raw total energy   -26.32 eV per atom
Energy relative to the elements   -0.47 eV per atom


2.
# Ti2GaO

Ti2GaO at its PBEsol-relaxed geometry (SCAN, the Alexandria database).

abc: 5.9706 5.9706 5.9706
angles: 90.00 90.00 90.00
Space group Fm-3m (No. 225)
Symmetry-distinct sites (fractional):
Ti 0.2500 0.2500 0.2500
Ga 0.0000 0.0000 0.0000
O 0.0000 0.0000 0.5000

Summary:
Raw total energy   -14.08 eV per atom
Raw formation energy   -423 meV/atom


3.
# Tm5B2O6F9

Tm5B2O6F9 at its PBEsol-relaxed geometry (SCAN, the Alexandria database).

abc: 20.0030 5.9331 8.1180
angles: 90.00 100.34 90.00
Space group C2/c (No. 15)
Symmetry-distinct sites (fractional):
Tm 0.0000 0.1115 0.2500
Tm 0.1100 0.3885 0.9062
Tm 0.1937 0.1224 0.3197
B 0.1110 0.0940 0.5624
O 0.0905 0.2418 0.4334
O 0.0925 0.1018 0.7185
O 0.1600 0.0634 0.0389
F 0.0000 0.4884 0.2500
F 0.0317 0.1807 0.9865
F 0.1317 0.4279 0.1852
F 0.2107 0.4257 0.4813
F 0.2253 0.2196 0.7852

Summary:
Raw total energy   -19.60 eV per atom
Raw formation energy   -3999 meV/atom


Q: The highest raw total energy belongs to which entry?
A: Ti2GaO


Q: Which value of raw total energy does entry 2 give?
A: -14.08 eV per atom


Q: What is the raw total energy in the third record?
A: -19.60 eV per atom